The following is a DFT calculation (PBE) of crystalline CoRe2P at its relaxed geometry.

Properties
**Energy of formation**: -0.1340 eV per atom
**Calculated total energy**: -9.487 eV/atom

abc: 4.8976 4.8976 4.8976
angles: 145.62 129.17 62.81
Sites, in units of the cell vectors:
Co1 0.0000 0.0000 0.0000
Re1 0.4381 0.4381 0.0000
Re2 0.7170 0.2170 0.5000
P1 0.2004 0.7004 0.5000


The following is a DFT calculation (PBE) of crystalline CoReP2 at its relaxed geometry.

Properties
**Energy of formation**: -0.2095 eV per atom
**Offset from the most stable computed form**: 4.63 kJ/mol of atoms
**Calculated total energy**: -7.803 eV/atom

abc: 4.2726 4.2726 4.2316
angles: 103.14 103.14 41.66
Sites, in units of the cell vectors:
Co1 0.0000 0.0000 0.0000
Re1 0.2280 0.2280 0.5837
P1 0.4928 0.4928 0.4232
P2 0.7281 0.7281 0.0691


The following is a DFT calculation (PBE) of crystalline Co2ReP at its relaxed geometry.

Properties
**Energy of formation**: -0.0583 eV per atom
**Calculated total energy**: -8.076 eV/atom

abc: 4.4081 4.4081 4.6110
angles: 108.89 108.89 35.05
Sites, in units of the cell vectors:
Co1 0.0000 0.0000 0.0000
Co2 0.2111 0.2111 0.6957
Re1 0.4426 0.4426 0.4841
P1 0.7254 0.7254 0.0944


The following is a DFT calculation (PBE) of crystalline CoRe2P at its relaxed geometry.

Properties
**Energy of formation**: 0.3565 eV per atom
**Calculated total energy**: -8.997 eV/atom

abc: 2.9298 4.1768 4.4329
angles: 90.00 90.00 90.00
Sites, in units of the cell vectors:
Co1 0.0000 0.0000 0.0000
Re1 0.0000 0.5000 0.5000
Re2 0.5000 0.5000 0.0000
P1 0.5000 0.0000 0.5000


The following is a DFT calculation (PBE) of crystalline CoRe2P at its relaxed geometry.

Properties
**Energy of formation**: 0.1198 eV per atom
**Calculated total energy**: -9.233 eV/atom

abc: 2.7786 3.7949 5.1975
angles: 90.00 102.78 90.00
Sites, in units of the cell vectors:
Co1 0.0000 0.0000 0.0000
Re1 0.3632 0.5000 0.7431
Re2 0.6368 0.5000 0.2569
P1 0.0000 0.0000 0.5000


The following is a DFT calculation (PBE) of crystalline CoRe3P at its relaxed geometry.

Properties
**Energy of formation**: 1.8849 eV per atom
**Offset from the most stable computed form**: 68.67 kJ/mol of atoms
**Calculated total energy**: -8.087 eV/atom

abc: 4.4124 4.4124 4.4124
angles: 90.00 90.00 90.00
Sites, in units of the cell vectors:
Co1 0.0000 0.0000 0.0000
Re1 0.0000 0.0000 0.5000
Re2 0.0000 0.5000 0.0000
Re3 0.5000 0.0000 0.0000
P1 0.5000 0.5000 0.5000


The following is a DFT calculation (PBE) of crystalline Co2ReP at its relaxed geometry.

Properties
**Energy of formation**: 0.3932 eV per atom
**Calculated total energy**: -7.624 eV/atom

abc: 8.3317 8.3317 8.3317
angles: 154.99 154.99 35.66
Sites, in units of the cell vectors:
Co1 0.0992 0.6250 0.9742
Co2 0.3750 0.3492 0.4742
Co3 0.6508 0.1250 0.0258
Co4 0.8750 0.9008 0.5258
Re1 0.2500 0.7500 0.5000
Re2 0.5000 0.5000 0.0000
P1 0.0000 0.0000 0.0000
P2 0.7500 0.2500 0.5000


The following is a DFT calculation (PBE) of crystalline CoReP at its relaxed geometry.

Properties
**Energy of formation**: -0.3454 eV per atom
**Offset from the most stable computed form**: 0.00 kJ/mol of atoms
**Calculated total energy**: -8.667 eV/atom

abc: 5.6230 3.7948 6.7198
angles: 90.00 90.00 90.00
Sites, in units of the cell vectors:
Co1 0.1405 0.2500 0.0724
Co2 0.3595 0.7500 0.5724
Co3 0.6405 0.2500 0.4276
Co4 0.8595 0.7500 0.9276
Re1 0.0271 0.2500 0.6689
Re2 0.4729 0.7500 0.1689
Re3 0.5271 0.2500 0.8311
Re4 0.9729 0.7500 0.3311
P1 0.2402 0.7500 0.8807
P2 0.2598 0.2500 0.3807
P3 0.7402 0.7500 0.6193
P4 0.7598 0.2500 0.1193